VASP calculation (SCAN) on WIN2O at its PBEsol-relaxed geometry.

Output
* symmetry: P4/mmm (123)
* size of the total moment: 1.27 Bohr magnetons per cell

Lattice parameters (Å, degrees): 3.910 3.961 3.961 90.00 90.00 90.00
Last column: magnetic moment on the atom in μB.
Atoms (fractional coordinates):
I  0.500  0.000  0.000  -0.04
O  0.000  0.000  0.000  0.01
W  0.500  0.500  0.500  1.66
N  0.000  0.000  0.500  -0.29
N  0.000  0.500  0.000  -0.29

VASP calculation (SCAN) on YINO2 at its PBEsol-relaxed geometry.

Output
* symmetry: P4/mmm (123)
* size of the total moment: 0.00 Bohr magnetons per cell

Lattice parameters (Å, degrees): 4.031 4.196 4.196 90.00 90.00 90.00
Atoms (fractional coordinates):
I  0.500  0.000  0.000
Y  0.500  0.500  0.500
O  0.000  0.000  0.500
O  0.000  0.500  0.000
N  0.000  0.000  0.000

VASP calculation (SCAN) on ZrINO2 at its PBEsol-relaxed geometry.

Output
* symmetry: P4/mmm (123)
* size of the total moment: 0.70 Bohr magnetons per cell

Lattice parameters (Å, degrees): 4.034 4.034 4.556 90.00 90.00 90.00
Last column: magnetic moment on the atom in μB.
Atoms (fractional coordinates):
I  0.500  0.500  0.500  0.36
O  0.000  0.500  0.000  0.17
O  0.500  0.000  0.000  0.17
Zr  0.000  0.000  0.000  -0.01
N  0.000  0.000  0.500  -0.12

VASP calculation (SCAN) on ZrINO2 at its PBEsol-relaxed geometry.

Output
* symmetry: P4/mmm (123)
* size of the total moment: 0.00 Bohr magnetons per cell

Lattice parameters (Å, degrees): 4.013 4.066 4.066 90.00 90.00 90.00
Atoms (fractional coordinates):
I  0.500  0.000  0.000
O  0.000  0.000  0.500
O  0.000  0.500  0.000
Zr  0.500  0.500  0.500
N  0.000  0.000  0.000

VASP calculation (SCAN) on ZrI2NO at its PBEsol-relaxed geometry.

Output
* symmetry: P4/mmm (123)
* size of the total moment: 0.75 Bohr magnetons per cell

Lattice parameters (Å, degrees): 3.653 4.867 4.867 90.00 90.00 90.00
Last column: magnetic moment on the atom in μB.
Atoms (fractional coordinates):
I  0.000  0.000  0.500  -0.02
I  0.000  0.500  0.000  -0.02
O  0.500  0.000  0.000  -0.19
Zr  0.500  0.500  0.500  0.54
N  0.000  0.000  0.000  0.15

VASP calculation (SCAN) on OsI3N at its PBEsol-relaxed geometry.

Output
* symmetry: Pm-3m (221)
* size of the total moment: 3.78 Bohr magnetons per cell

Lattice parameters (Å, degrees): 4.823 4.823 4.823 90.00 90.00 90.00
Last column: magnetic moment on the atom in μB.
Atoms (fractional coordinates):
I  0.000  0.500  0.000  0.14
I  0.000  0.000  0.500  0.14
I  0.500  0.000  0.000  0.14
Os  0.500  0.500  0.500  2.72
N  0.000  0.000  0.000  -0.03

VASP calculation (SCAN) on OsI2N at its PBEsol-relaxed geometry.

Output
* symmetry: I-42d (122)
* size of the total moment: 0.00 Bohr magnetons per cell

Lattice parameters (Å, degrees): 5.477 5.477 7.153 112.51 112.51 90.00
Atoms (fractional coordinates):
I  0.397  0.875  0.250
I  0.853  0.375  0.250
I  0.125  0.147  0.750
I  0.625  0.603  0.750
Os  0.250  0.750  0.500
Os  0.000  0.000  0.000
N  0.750  0.250  0.500
N  0.500  0.500  0.000

VASP calculation (SCAN) on OsIN3 at its PBEsol-relaxed geometry.

Output
* symmetry: Pm-3m (221)
* size of the total moment: 0.00 Bohr magnetons per cell

Lattice parameters (Å, degrees): 3.920 3.920 3.920 90.00 90.00 90.00
Atoms (fractional coordinates):
I  0.000  0.000  0.000
Os  0.500  0.500  0.500
N  0.000  0.500  0.000
N  0.000  0.000  0.500
N  0.500  0.000  0.000

VASP calculation (SCAN) on POsI2N at its PBEsol-relaxed geometry.

Output
* symmetry: P4/mmm (123)
* size of the total moment: 0.00 Bohr magnetons per cell

Lattice parameters (Å, degrees): 3.237 5.254 5.254 90.00 90.00 90.00
Atoms (fractional coordinates):
I  0.000  0.000  0.500
I  0.000  0.500  0.000
P  0.000  0.000  0.000
Os  0.500  0.500  0.500
N  0.500  0.000  0.000

VASP calculation (SCAN) on OsPdIN2 at its PBEsol-relaxed geometry.

Output
* symmetry: P4/mmm (123)
* size of the total moment: 0.00 Bohr magnetons per cell

Lattice parameters (Å, degrees): 3.773 3.773 5.895 90.00 90.00 90.00
Atoms (fractional coordinates):
I  0.000  0.000  0.500
Os  0.000  0.000  0.000
Pd  0.500  0.500  0.500
N  0.000  0.500  0.000
N  0.500  0.000  0.000

VASP calculation (SCAN) on OsSIN2 at its PBEsol-relaxed geometry.

Output
* symmetry: P4/mmm (123)
* size of the total moment: 0.00 Bohr magnetons per cell

Lattice parameters (Å, degrees): 3.788 3.788 5.836 90.00 90.00 90.00
Atoms (fractional coordinates):
I  0.000  0.000  0.500
S  0.500  0.500  0.500
Os  0.000  0.000  0.000
N  0.000  0.500  0.000
N  0.500  0.000  0.000

VASP calculation (SCAN) on OsSI2N at its PBEsol-relaxed geometry.

Output
* symmetry: P4/mmm (123)
* size of the total moment: 0.00 Bohr magnetons per cell

Lattice parameters (Å, degrees): 3.263 5.312 5.312 90.00 90.00 90.00
Atoms (fractional coordinates):
I  0.000  0.000  0.500
I  0.000  0.500  0.000
S  0.000  0.000  0.000
Os  0.500  0.500  0.500
N  0.500  0.000  0.000

VASP calculation (SCAN) on OsSeI2N at its PBEsol-relaxed geometry.

Output
* symmetry: P4/mmm (123)
* size of the total moment: 0.00 Bohr magnetons per cell

Lattice parameters (Å, degrees): 3.699 5.457 5.457 90.00 90.00 90.00
Atoms (fractional coordinates):
I  0.000  0.000  0.500
I  0.000  0.500  0.000
Os  0.000  0.000  0.000
Se  0.500  0.500  0.500
N  0.500  0.000  0.000

VASP calculation (SCAN) on TaOsI2N at its PBEsol-relaxed geometry.

Output
* symmetry: P4/mmm (123)
* size of the total moment: 4.01 Bohr magnetons per cell

Lattice parameters (Å, degrees): 3.827 5.499 5.499 90.00 90.00 90.00
Last column: magnetic moment on the atom in μB.
Atoms (fractional coordinates):
I  0.000  0.000  0.500  0.04
I  0.000  0.500  0.000  0.04
N  0.500  0.000  0.000  -0.03
Os  0.500  0.500  0.500  2.61
Ta  0.000  0.000  0.000  0.45

VASP calculation (SCAN) on TeOsIN2 at its PBEsol-relaxed geometry.

Output
* energy relative to the lowest polymorph listed for this composition: 0.0 meV per atom
* symmetry: P4/mmm (123)
* size of the total moment: 0.00 Bohr magnetons per cell

Lattice parameters (Å, degrees): 3.960 3.960 5.732 90.00 90.00 90.00
Atoms (fractional coordinates):
I  0.500  0.500  0.500
Te  0.000  0.000  0.500
Os  0.000  0.000  0.000
N  0.000  0.500  0.000
N  0.500  0.000  0.000

VASP calculation (SCAN) on Te2OsIN at its PBEsol-relaxed geometry.

Output
* energy relative to the lowest polymorph listed for this composition: 0.0 meV per atom
* symmetry: P4/mmm (123)
* size of the total moment: 0.00 Bohr magnetons per cell

Lattice parameters (Å, degrees): 4.692 4.544 4.544 90.00 90.00 90.00
Atoms (fractional coordinates):
I  0.500  0.000  0.000
Te  0.000  0.000  0.500
Te  0.000  0.500  0.000
Os  0.500  0.500  0.500
N  0.000  0.000  0.000

VASP calculation (SCAN) on Te2OsIN at its PBEsol-relaxed geometry.

Output
* energy relative to the lowest polymorph listed for this composition: 566.9 meV per atom
* symmetry: P4/mmm (123)
* size of the total moment: 0.00 Bohr magnetons per cell

Lattice parameters (Å, degrees): 3.747 5.568 5.568 90.00 90.00 90.00
Atoms (fractional coordinates):
I  0.000  0.000  0.000
Te  0.000  0.000  0.500
Te  0.000  0.500  0.000
Os  0.500  0.500  0.500
N  0.500  0.000  0.000

VASP calculation (SCAN) on TeOsIN2 at its PBEsol-relaxed geometry.

Output
* energy relative to the lowest polymorph listed for this composition: 1324.1 meV per atom
* symmetry: P4/mmm (123)
* size of the total moment: 2.43 Bohr magnetons per cell

Lattice parameters (Å, degrees): 3.903 3.903 6.732 90.00 90.00 90.00
Last column: magnetic moment on the atom in μB.
Atoms (fractional coordinates):
I  0.000  0.000  0.500  0.01
Te  0.000  0.000  0.000  -0.02
Os  0.500  0.500  0.500  1.69
N  0.000  0.500  0.000  0.12
N  0.500  0.000  0.000  0.12

VASP calculation (SCAN) on Tl2OsIN at its PBEsol-relaxed geometry.

Output
* symmetry: P4/mmm (123)
* size of the total moment: 1.30 Bohr magnetons per cell

Lattice parameters (Å, degrees): 3.709 5.780 5.780 90.00 90.00 90.00
Last column: magnetic moment on the atom in μB.
Atoms (fractional coordinates):
I  0.500  0.500  0.500  0.04
Tl  0.000  0.000  0.500  0.01
Tl  0.000  0.500  0.000  0.01
Os  0.500  0.000  0.000  1.04
N  0.000  0.000  0.000  -0.03

VASP calculation (SCAN) on OsWIN2 at its PBEsol-relaxed geometry.

Output
* symmetry: P4/mmm (123)
* size of the total moment: 3.97 Bohr magnetons per cell

Lattice parameters (Å, degrees): 3.839 3.839 5.789 90.00 90.00 90.00
Last column: magnetic moment on the atom in μB.
Atoms (fractional coordinates):
I  0.000  0.000  0.500  -0.02
Os  0.000  0.000  0.000  0.11
W  0.500  0.500  0.500  2.93
N  0.000  0.500  0.000  0.00
N  0.500  0.000  0.000  0.00

It is found that the D(E_F) values, taken in the order of the records, are 0.42; 0.17; 0.50; 0.54; 0.58; 0.51; 0.78; 0.69; 0.57; 0.41; 0.48; 0.63; 0.74; 0.28; 0.34; 0.57; 0.73; 0.84; 0.36; 0.67 states/eV/atom.
It is found that the uncorrected formation energy values, taken in the order of the records, are 2588; 30; -893; 626; 865; 2085; 1770; 3200; 1487; 779; 934; 1841; 714; 1264; 951; 1742; 2309; 2275; 504; 1800 meV/atom.